## Be3SiW (PBE-GGA)

Data for an optimized crystal structure of Be3SiW.

a b c (Å): 4.345 4.345 4.345
angles (deg): 90.00 90.00 90.00
Fractional positions:
Be (0.000, 0.000, 0.500)
Be (0.000, 0.500, 0.000)
Be (0.500, 0.000, 0.000)
W (0.000, 0.000, 0.000)
Si (0.500, 0.500, 0.500)

Output
The value obtained for the energy above the most stable polymorph in this dataset is 1.61 eV/f.u. Its symmetry is Pm-3m, No. 221. The formation energy (no corrections) comes out at 1.606 eV/atom. For the calculated volume, the calculation gives 82 Å³ per cell. The total energy is -4.305 eV/atom.

=====

## BaTlNF2 (PBE-GGA)

Data for an optimized crystal structure of BaTlNF2.

a b c (Å): 5.036 5.036 5.507
angles (deg): 90.00 90.00 90.00
Last column: magnetic moment on the atom in μB.
Fractional positions:
N (0.000, 0.000, 0.500)  1.28
F (0.000, 0.500, 0.000)  0.00
Tl (0.500, 0.500, 0.500)  0.00
Ba (0.000, 0.000, 0.000)  0.03
F (0.500, 0.000, 0.000)  0.00

Output
The value obtained for the energy above the most stable polymorph in this dataset is 0.81 eV/f.u. Its symmetry is P4/mmm, No. 123. The formation energy (no corrections) comes out at -1.222 eV/atom. For the calculated volume, the calculation gives 140 Å³ per cell. The total energy is -4.494 eV/atom.

=====

## Sc2Re3 (PBE-GGA)

Data for an optimized crystal structure of Sc2Re3.

a b c (Å): 2.900 2.900 12.023
angles (deg): 90.00 90.00 120.00
Fractional positions:
Re (0.333, 0.667, 0.416)
Re (0.000, 0.000, 0.000)
Sc (0.333, 0.667, 0.184)
Re (0.667, 0.333, 0.584)
Sc (0.667, 0.333, 0.816)

Output
The value obtained for the energy above the most stable polymorph in this dataset is 1.84 eV/f.u. Its symmetry is P-3m1, No. 164. The formation energy is 0.43 eV/atom. For the calculated volume, the calculation gives 88 Å³ per cell. The total energy is -9.574 eV/atom.

=====

## Tb4Pu3S8 (PBE-GGA)

Data for an optimized crystal structure of Tb4Pu3S8.

a b c (Å): 7.872 7.870 7.870
angles (deg): 90.06 119.92 119.92
Last column: magnetic moment on the atom in μB.
Fractional positions:
S (0.996, 0.248, 0.248)  -0.01
Tb (0.500, 0.000, 0.000)  0.05
Pu (0.500, 0.000, 0.500)  5.28
S (0.496, 0.248, 0.248)  -0.08
Tb (0.000, 0.000, 0.000)  0.11
Tb (0.000, 0.000, 0.500)  0.07
Tb (0.000, 0.500, 0.000)  0.07
Pu (0.500, 0.500, 0.000)  5.28
S (0.004, 0.752, 0.752)  -0.01
S (0.504, 0.752, 0.752)  -0.08
S (0.500, 0.750, 0.250)  -0.07
S (0.000, 0.249, 0.751)  -0.05
Pu (0.500, 0.500, 0.500)  5.31
S (0.500, 0.250, 0.750)  -0.07
S (0.000, 0.751, 0.249)  -0.05

Output
Its symmetry is C2/m, No. 12. The formation energy (no corrections) comes out at -1.948 eV/atom. For the calculated volume, the calculation gives 345 Å³ per cell. The total energy is -8.251 eV/atom.

=====

## CeNpScGa (PBE-GGA)

Data for an optimized crystal structure of CeNpScGa.

a b c (Å): 5.053 5.053 5.053
angles (deg): 60.00 60.00 60.00
Last column: magnetic moment on the atom in μB.
Fractional positions:
Sc (0.250, 0.250, 0.250)  0.62
Ce (0.750, 0.750, 0.750)  1.19
Np (0.000, 0.000, 0.000)  4.64
Ga (0.500, 0.500, 0.500)  -0.10

Output
Its symmetry is F-43m, No. 216. The formation energy is 0.08 eV/atom. For the calculated volume, the calculation gives 91 Å³ per cell. The total energy is -6.975 eV/atom.

=====

## CsInN2 (PBE-GGA)

Data for an optimized crystal structure of CsInN2.

a b c (Å): 4.023 4.853 12.478
angles (deg): 94.51 80.73 90.00
Fractional positions:
In (0.500, 0.000, 0.500)
N (0.769, 0.229, 0.961)
Cs (0.353, 0.559, 0.792)
Cs (0.647, 0.441, 0.208)
In (0.000, 0.500, 0.500)
N (0.802, 0.047, 0.895)
N (0.231, 0.771, 0.039)
N (0.198, 0.953, 0.105)

Output
Its symmetry is P-1, No. 2. The formation energy (no corrections) comes out at -0.063 eV/atom. For the calculated volume, the calculation gives 240 Å³ per cell. The total energy is -5.123 eV/atom.

=====

## RbSiAg (PBE-GGA)

Data for an optimized crystal structure of RbSiAg.

a b c (Å): 4.643 4.643 8.598
angles (deg): 105.66 105.66 90.00
Fractional positions:
Rb (0.675, 0.839, 0.350)
Si (0.080, 0.245, 0.161)
Ag (0.000, 0.665, 0.000)
Rb (0.325, 0.489, 0.650)
Si (0.920, 0.085, 0.839)
Ag (0.500, 0.164, 0.000)

Output
The value obtained for the energy above the most stable polymorph in this dataset is 0.00 eV/f.u. Its symmetry is I4/mmm, No. 139. The formation energy (no corrections) comes out at 0.039 eV/atom. For the calculated volume, the calculation gives 171 Å³ per cell. The total energy is -3.042 eV/atom.

=====

## LiAlGe (PBE-GGA)

Data for an optimized crystal structure of LiAlGe.

a b c (Å): 4.960 2.882 7.758
angles (deg): 100.55 72.87 89.97
Fractional positions:
Al (0.367, 0.286, 0.791)
Ge (0.900, 0.424, 0.070)
Ge (0.223, 0.137, 0.489)
Li (0.390, 0.943, 0.112)
Al (0.775, 0.076, 0.377)
Li (0.861, 0.773, 0.765)

Output
Its symmetry is P1, No. 1. The formation energy is -0.09 eV/atom. For the calculated volume, the calculation gives 104 Å³ per cell. The total energy is -3.510 eV/atom.